# Na3HfNi2O6 (PBE+U, relaxed)
data_Na3HfNi2O6
_chemical_formula_sum 'Na6 Hf2 Ni4 O12'
_symmetry_space_group_name_H-M 'C 1 2/m 1'
_symmetry_Int_Tables_number 12
_cell_length_a 5.3816
_cell_length_b 9.1684
_cell_length_c 5.7566
_cell_angle_alpha 90.00
_cell_angle_beta 108.42
_cell_angle_gamma 90.00
loop_
_symmetry_equiv_pos_as_xyz
'x,y,z'
'-x,-y,-z'
'-x,y,-z'
'x,-y,z'
'x+1/2,y+1/2,z'
'-x+1/2,-y+1/2,-z'
'-x+1/2,y+1/2,-z'
'x+1/2,-y+1/2,z'
loop_
_atom_site_label
_atom_site_fract_x
_atom_site_fract_y
_atom_site_fract_z
Na1 0.0000 0.0000 0.0000
Na2 0.0000 0.3263 0.0000
Hf1 0.0000 0.5000 0.5000
Ni1 0.0000 0.1673 0.5000
O1 0.2294 0.3327 0.7072
O2 0.2319 0.0000 0.7021
# * VASP energy: -5.90 eV/atom
# * calculated volume: 269 Å³ per cell